! Cs2PmF4, relaxed, DFT GGA-PBE; values from VASP
! ΔE to the lowest computed polymorph = 0 meV/atom
! E_form (uncorrected) = -3078 meV/atom
! density of states at the Fermi level = 0.169 states/eV/atom
&SYSTEM
  ibrav = 0, nat = 7, ntyp = 3
/
ATOMIC_SPECIES
F 19.00 F.upf
Pm 145.00 Pm.upf
Cs 132.91 Cs.upf
CELL_PARAMETERS angstrom
-1.5775 -3.4250 -2.5661
3.0709 -2.8107 1.8636
-6.6774 -5.8156 7.8136
ATOMIC_POSITIONS crystal
F 0.5000 0.0000 0.0000
F 0.0000 0.5000 0.0000
F 0.0986 0.0986 0.8029
F 0.9014 0.9014 0.1971
Pm 0.0000 0.0000 0.0000
Cs 0.3524 0.3524 0.2952
Cs 0.6476 0.6476 0.7048



! Cs2PmF6, relaxed, DFT GGA-PBE; values from VASP
! E_form (uncorrected) = -3039 meV/atom
! density of states at the Fermi level = 0.931 states/eV/atom
&SYSTEM
  ibrav = 0, nat = 9, ntyp = 3
/
ATOMIC_SPECIES
F 19.00 F.upf
Cs 132.91 Cs.upf
Pm 145.00 Pm.upf
CELL_PARAMETERS angstrom
4.1809 0.0000 -0.0214
0.0000 7.0708 0.0000
-1.6244 -3.5354 6.8034
ATOMIC_POSITIONS crystal
F 0.8632 0.6618 0.7348
F 0.5000 0.1821 0.0000
F 0.5000 0.8179 0.0000
F 0.1368 0.9270 0.2652
F 0.1368 0.3382 0.2652
F 0.8632 0.0730 0.7348
Cs 0.6651 0.6677 0.3354
Cs 0.3349 0.3323 0.6646
Pm 0.0000 0.0000 0.0000



! Cs2RbPmF6, relaxed, DFT GGA-PBE; values from VASP
! E_form (uncorrected) = -3282 meV/atom
! density of states at the Fermi level = 0.000 states/eV/atom
&SYSTEM
  ibrav = 0, nat = 10, ntyp = 4
/
ATOMIC_SPECIES
F 19.00 F.upf
Pm 145.00 Pm.upf
Cs 132.91 Cs.upf
Rb 85.47 Rb.upf
CELL_PARAMETERS angstrom
7.0101 -0.0006 0.0003
0.0002 7.0105 0.0005
3.5054 3.5053 4.9583
ATOMIC_POSITIONS crystal
F 0.7278 0.7278 0.5444
F 0.2721 0.2722 0.0000
F 0.7278 0.2722 0.0000
F 0.2722 0.7278 0.0000
F 0.7279 0.7278 0.0000
F 0.2722 0.2722 0.4556
Pm 0.5000 0.5000 0.0000
Cs 0.2500 0.7500 0.5000
Cs 0.7500 0.2500 0.5000
Rb 0.0000 0.0000 0.0000



! CsPmScF6, relaxed, DFT GGA-PBE; values from VASP
! E_form (uncorrected) = -3587 meV/atom
! density of states at the Fermi level = 0.080 states/eV/atom
&SYSTEM
  ibrav = 0, nat = 18, ntyp = 4
/
ATOMIC_SPECIES
Sc 44.96 Sc.upf
Cs 132.91 Cs.upf
F 19.00 F.upf
Pm 145.00 Pm.upf
CELL_PARAMETERS angstrom
7.6160 0.0000 0.0000
0.0000 8.0173 0.0000
-3.8080 -4.0087 5.5395
ATOMIC_POSITIONS crystal
Sc 0.5000 0.5000 0.0000
Sc 0.5000 0.0000 0.0000
Cs 0.1437 0.3937 0.2873
Cs 0.8563 0.6063 0.7127
F 0.5571 0.3071 0.1141
F 0.5770 0.8923 0.7496
F 0.4230 0.1077 0.2504
F 0.8274 0.1077 0.2504
F 0.1278 0.8778 0.2557
F 0.1726 0.8923 0.7496
F 0.8274 0.6426 0.2504
F 0.1726 0.3574 0.7496
F 0.4230 0.6426 0.2504
F 0.5770 0.3574 0.7496
F 0.8722 0.1222 0.7443
F 0.4429 0.6929 0.8859
Pm 0.0000 0.0000 0.5000
Pm 0.5000 0.0000 0.5000



! CsPmSn2F8, relaxed, DFT GGA-PBE; values from VASP
! E_form (uncorrected) = -2949 meV/atom
! density of states at the Fermi level = 0.000 states/eV/atom
&SYSTEM
  ibrav = 0, nat = 12, ntyp = 4
/
ATOMIC_SPECIES
F 19.00 F.upf
Pm 145.00 Pm.upf
Cs 132.91 Cs.upf
Sn 118.71 Sn.upf
CELL_PARAMETERS angstrom
4.3151 -0.0178 0.0117
0.0181 6.4243 -0.4347
0.0147 -0.5577 8.8551
ATOMIC_POSITIONS crystal
F 0.0032 0.2050 0.8174
F 0.4997 0.2825 0.4250
F 0.9988 0.3023 0.2063
F 0.5001 0.8237 0.9306
F 0.4999 0.1763 0.0694
F 0.0012 0.6977 0.7937
F 0.5003 0.7175 0.5750
F 0.9968 0.7950 0.1826
Pm 0.0000 0.0000 0.0000
Cs 0.0000 0.0000 0.5000
Sn 0.5023 0.4572 0.2441
Sn 0.4977 0.5428 0.7559



! CsPmSnF6, relaxed, DFT GGA-PBE; values from VASP
! E_form (uncorrected) = -3136 meV/atom
! density of states at the Fermi level = 0.000 states/eV/atom
&SYSTEM
  ibrav = 0, nat = 18, ntyp = 4
/
ATOMIC_SPECIES
F 19.00 F.upf
Pm 145.00 Pm.upf
Cs 132.91 Cs.upf
Sn 118.71 Sn.upf
CELL_PARAMETERS angstrom
8.7484 0.0000 0.0000
0.0000 8.3414 0.0000
-4.3742 -4.1707 6.1604
ATOMIC_POSITIONS crystal
F 0.8332 0.0778 0.2589
F 0.5900 0.3400 0.1800
F 0.1982 0.9482 0.3964
F 0.8018 0.0518 0.6036
F 0.5743 0.9222 0.7411
F 0.4257 0.0778 0.2589
F 0.1668 0.9222 0.7411
F 0.4100 0.6600 0.8200
F 0.8332 0.6812 0.2589
F 0.5743 0.3188 0.7411
F 0.1668 0.3188 0.7411
F 0.4257 0.6812 0.2589
Pm 0.0000 0.0000 0.5000
Pm 0.5000 0.0000 0.5000
Cs 0.1710 0.4210 0.3421
Cs 0.8290 0.5790 0.6579
Sn 0.5000 0.0000 0.0000
Sn 0.5000 0.5000 0.0000



! Cs2PmSnF6, relaxed, DFT GGA-PBE; values from VASP
! E_form (uncorrected) = -2892 meV/atom
&SYSTEM
  ibrav = 0, nat = 20, ntyp = 4
/
ATOMIC_SPECIES
F 19.00 F.upf
Cs 132.91 Cs.upf
Sn 118.71 Sn.upf
Pm 145.00 Pm.upf
CELL_PARAMETERS angstrom
-0.7282 0.8301 6.5431
-3.7765 -6.9181 0.4573
8.0878 -4.3193 1.4481
ATOMIC_POSITIONS crystal
F 0.7712 0.5802 0.0000
F 0.0000 0.8243 0.7565
F 0.7162 0.9565 0.0000
F 0.7838 0.0435 0.5000
F 0.5000 0.1757 0.2565
F 0.2712 0.4198 0.5000
F 0.0000 0.8243 0.2435
F 0.7288 0.4198 0.5000
F 0.2288 0.5802 0.0000
F 0.2838 0.9565 0.0000
F 0.5000 0.1757 0.7435
F 0.2162 0.0435 0.5000
Cs 0.5000 0.7294 0.7550
Cs 0.0000 0.2706 0.7450
Cs 0.0000 0.2706 0.2550
Cs 0.5000 0.7294 0.2450
Sn 0.5000 0.2097 0.0000
Sn 0.0000 0.7903 0.5000
Pm 0.0000 0.7868 0.0000
Pm 0.5000 0.2132 0.5000



! CsSrPmF6, relaxed, DFT GGA-PBE; values from VASP
! E_form (uncorrected) = -3683 meV/atom
! density of states at the Fermi level = 0.000 states/eV/atom
&SYSTEM
  ibrav = 0, nat = 18, ntyp = 4
/
ATOMIC_SPECIES
Sr 87.62 Sr.upf
F 19.00 F.upf
Cs 132.91 Cs.upf
Pm 145.00 Pm.upf
CELL_PARAMETERS angstrom
8.7396 0.0000 0.0000
0.0000 8.5368 0.0000
-4.3698 -4.2684 6.2846
ATOMIC_POSITIONS crystal
Sr 0.5000 0.0000 0.0000
Sr 0.5000 0.5000 0.0000
F 0.5613 0.9234 0.7330
F 0.8283 0.0766 0.2670
F 0.4387 0.0766 0.2670
F 0.1952 0.9452 0.3905
F 0.5613 0.3096 0.7330
F 0.1717 0.9234 0.7330
F 0.4387 0.6904 0.2670
F 0.8048 0.0548 0.6095
F 0.5835 0.3335 0.1670
F 0.4165 0.6665 0.8330
F 0.8283 0.6904 0.2670
F 0.1717 0.3096 0.7330
Cs 0.1890 0.4390 0.3781
Cs 0.8110 0.5610 0.6219
Pm 0.0000 0.0000 0.5000
Pm 0.5000 0.0000 0.5000



! CsPmTl2F6, relaxed, DFT GGA-PBE; values from VASP
! E_form (uncorrected) = -2882 meV/atom
! density of states at the Fermi level = 0.000 states/eV/atom
&SYSTEM
  ibrav = 0, nat = 10, ntyp = 4
/
ATOMIC_SPECIES
Pm 145.00 Pm.upf
F 19.00 F.upf
Tl 204.38 Tl.upf
Cs 132.91 Cs.upf
CELL_PARAMETERS angstrom
6.9603 0.0029 0.0023
3.4827 6.0258 0.0023
3.4825 2.0109 5.7702
ATOMIC_POSITIONS crystal
Pm 0.3167 0.3167 0.0498
F 0.6578 0.1630 0.7848
F 0.3945 0.6576 0.7840
F 0.9898 0.5588 0.2366
F 0.2151 0.9896 0.2373
F 0.5584 0.2152 0.2364
F 0.1635 0.3944 0.7846
Tl 0.5338 0.5340 0.3985
Tl 0.0292 0.0294 0.9119
Cs 0.8028 0.8029 0.5913



Q: Among the records above, which one has the highest E_form (uncorrected)?
A: CsPmTl2F6